No. 1
A plane-wave DFT calculation with PBE-GGA was carried out for a relaxed TiBe5Pd6 crystal.

Summary:
N(E_F), states/eV/atom: 0.40
VASP energy, eV per formula unit: -64.0
Crystal system: monoclinic
Formation energy from the elements, meV/atom: -524

The structure in CIF format:
```
data_TiBe5Pd6
_chemical_formula_sum 'Ti1 Be5 Pd6'
_space_group_name_H-M_alt 'P 1'
_space_group_IT_number 1
_cell_length_a 4.113
_cell_length_b 5.831
_cell_length_c 6.365
_cell_angle_alpha 90.00
_cell_angle_beta 105.45
_cell_angle_gamma 90.00
loop_
_space_group_symop_operation_xyz
'x,y,z'
loop_
_atom_site_label
_atom_site_fract_x
_atom_site_fract_y
_atom_site_fract_z
Ti1 0.000 0.000 0.000
Be1 0.000 0.500 0.000
Be2 0.335 0.500 0.677
Be3 0.337 0.000 0.665
Be4 0.663 0.000 0.335
Be5 0.665 0.500 0.323
Pd1 0.175 0.257 0.343
Pd2 0.175 0.743 0.343
Pd3 0.500 0.264 0.000
Pd4 0.500 0.736 0.000
Pd5 0.825 0.257 0.657
Pd6 0.825 0.743 0.657
```

No. 2
A plane-wave DFT calculation with PBE-GGA was carried out for a relaxed RbMg2ScI8 crystal.

Summary:
N(E_F), states/eV/atom: 0.00
VASP energy, eV per formula unit: -36.1
Crystal system: triclinic
Energy relative to the elements, uncorrected, eV per atom: -1.100

The structure in CIF format:
```
data_RbMg2ScI8
_chemical_formula_sum 'Rb1 Mg2 Sc1 I8'
_space_group_name_H-M_alt 'P 1'
_space_group_IT_number 1
_cell_length_a 7.391
_cell_length_b 7.396
_cell_length_c 10.269
_cell_angle_alpha 77.21
_cell_angle_beta 77.36
_cell_angle_gamma 74.70
loop_
_space_group_symop_operation_xyz
'x,y,z'
loop_
_atom_site_label
_atom_site_fract_x
_atom_site_fract_y
_atom_site_fract_z
Rb1 0.000 0.000 0.000
Mg1 0.442 0.441 0.223
Mg2 0.558 0.559 0.777
Sc1 0.000 0.000 0.500
I1 0.187 0.731 0.713
I2 0.252 0.248 0.472
I3 0.267 0.810 0.288
I4 0.333 0.327 0.020
I5 0.667 0.673 0.980
I6 0.733 0.190 0.712
I7 0.748 0.752 0.528
I8 0.813 0.269 0.287
```

No. 3
A plane-wave DFT calculation with PBE-GGA was carried out for a relaxed Hf2Pt2Se crystal.

Summary:
N(E_F), states/eV/atom: 0.98
VASP energy, eV per formula unit: -39.1
Crystal system: tetragonal
Energy relative to the elements, uncorrected, eV per atom: -0.723

The structure in CIF format:
```
data_Hf2Pt2Se
_chemical_formula_sum 'Hf4 Pt4 Se2'
_space_group_name_H-M_alt 'P 1'
_space_group_IT_number 1
_cell_length_a 3.737
_cell_length_b 3.737
_cell_length_c 14.631
_cell_angle_alpha 90.00
_cell_angle_beta 90.00
_cell_angle_gamma 90.00
loop_
_space_group_symop_operation_xyz
'x,y,z'
loop_
_atom_site_label
_atom_site_fract_x
_atom_site_fract_y
_atom_site_fract_z
Hf1 0.000 0.000 0.116
Hf2 0.000 0.000 0.884
Hf3 0.500 0.500 0.384
Hf4 0.500 0.500 0.616
Pt1 0.000 0.500 0.250
Pt2 0.000 0.500 0.750
Pt3 0.500 0.000 0.250
Pt4 0.500 0.000 0.750
Se1 0.000 0.000 0.500
Se2 0.500 0.500 0.000
```

No. 4
A plane-wave DFT calculation with PBE-GGA was carried out for a relaxed Si2HgPt2 crystal.

Summary:
N(E_F), states/eV/atom: 0.70
VASP energy, eV per formula unit: -23.7
Crystal system: tetragonal
Energy relative to the elements, uncorrected, eV per atom: -0.089

The structure in CIF format:
```
data_Si2HgPt2
_chemical_formula_sum 'Si4 Hg2 Pt4'
_space_group_name_H-M_alt 'P 1'
_space_group_IT_number 1
_cell_length_a 7.729
_cell_length_b 7.729
_cell_length_c 2.797
_cell_angle_alpha 90.00
_cell_angle_beta 90.00
_cell_angle_gamma 90.00
loop_
_space_group_symop_operation_xyz
'x,y,z'
loop_
_atom_site_label
_atom_site_fract_x
_atom_site_fract_y
_atom_site_fract_z
Si1 0.149 0.351 0.000
Si2 0.351 0.851 0.000
Si3 0.649 0.149 0.000
Si4 0.851 0.649 0.000
Hg1 0.000 0.000 0.000
Hg2 0.500 0.500 0.000
Pt1 0.137 0.637 0.500
Pt2 0.363 0.137 0.500
Pt3 0.637 0.863 0.500
Pt4 0.863 0.363 0.500
```

No. 5
A plane-wave DFT calculation with PBE-GGA was carried out for a relaxed UTl2Pt2Se6 crystal.

Summary:
N(E_F), states/eV/atom: 0.81
VASP energy, eV per formula unit: -54.9
Crystal system: monoclinic
Energy relative to the elements, uncorrected, eV per atom: -0.535

The structure in CIF format:
```
data_UTl2Pt2Se6
_chemical_formula_sum 'U1 Tl2 Pt2 Se6'
_space_group_name_H-M_alt 'P 1'
_space_group_IT_number 1
_cell_length_a 6.467
_cell_length_b 6.467
_cell_length_c 8.431
_cell_angle_alpha 96.57
_cell_angle_beta 96.57
_cell_angle_gamma 119.63
loop_
_space_group_symop_operation_xyz
'x,y,z'
loop_
_atom_site_label
_atom_site_fract_x
_atom_site_fract_y
_atom_site_fract_z
U1 0.000 0.000 0.000
Tl1 0.158 0.842 0.500
Tl2 0.842 0.158 0.500
Pt1 0.331 0.669 0.000
Pt2 0.669 0.331 0.000
Se1 0.055 0.415 0.191
Se2 0.306 0.306 0.814
Se3 0.415 0.055 0.191
Se4 0.585 0.945 0.809
Se5 0.694 0.694 0.186
Se6 0.945 0.585 0.809
```

No. 6
A plane-wave DFT calculation with PBE-GGA was carried out for a relaxed Na12P3I5 crystal.

Summary:
N(E_F), states/eV/atom: 0.26
VASP energy, eV per formula unit: -52.1
Crystal system: cubic
Energy relative to the elements, uncorrected, eV per atom: -0.613

The structure in CIF format:
```
data_Na12P3I5
_chemical_formula_sum 'Na48 P12 I20'
_space_group_name_H-M_alt 'P 1'
_space_group_IT_number 1
_cell_length_a 15.259
_cell_length_b 15.259
_cell_length_c 15.259
_cell_angle_alpha 109.47
_cell_angle_beta 109.47
_cell_angle_gamma 109.47
loop_
_space_group_symop_operation_xyz
'x,y,z'
loop_
_atom_site_label
_atom_site_fract_x
_atom_site_fract_y
_atom_site_fract_z
Na1 0.065 0.638 0.397
Na2 0.065 0.927 0.668
Na3 0.073 0.241 0.138
Na4 0.073 0.332 0.935
Na5 0.103 0.741 0.668
Na6 0.103 0.862 0.435
Na7 0.138 0.073 0.241
Na8 0.138 0.565 0.897
Na9 0.168 0.241 0.603
Na10 0.168 0.427 0.565
Na11 0.241 0.138 0.073
Na12 0.241 0.603 0.168
Na13 0.259 0.332 0.897
Na14 0.259 0.427 0.362
Na15 0.332 0.897 0.259
Na16 0.332 0.935 0.073
Na17 0.362 0.259 0.427
Na18 0.362 0.603 0.935
Na19 0.397 0.065 0.638
Na20 0.397 0.832 0.759
Na21 0.427 0.362 0.259
Na22 0.427 0.565 0.168
Na23 0.435 0.103 0.862
Na24 0.435 0.832 0.573
Na25 0.565 0.168 0.427
Na26 0.565 0.897 0.138
Na27 0.573 0.435 0.832
Na28 0.573 0.638 0.741
Na29 0.603 0.168 0.241
Na30 0.603 0.935 0.362
Na31 0.638 0.397 0.065
Na32 0.638 0.741 0.573
Na33 0.668 0.065 0.927
Na34 0.668 0.103 0.741
Na35 0.741 0.573 0.638
Na36 0.741 0.668 0.103
Na37 0.759 0.397 0.832
Na38 0.759 0.862 0.927
Na39 0.832 0.573 0.435
Na40 0.832 0.759 0.397
Na41 0.862 0.435 0.103
Na42 0.862 0.927 0.759
Na43 0.897 0.138 0.565
Na44 0.897 0.259 0.332
Na45 0.927 0.668 0.065
Na46 0.927 0.759 0.862
Na47 0.935 0.073 0.332
Na48 0.935 0.362 0.603
P1 0.125 0.250 0.375
P2 0.125 0.375 0.750
P3 0.250 0.375 0.125
P4 0.250 0.875 0.625
P5 0.375 0.125 0.250
P6 0.375 0.750 0.125
P7 0.625 0.250 0.875
P8 0.625 0.875 0.750
P9 0.750 0.125 0.375
P10 0.750 0.625 0.875
P11 0.875 0.625 0.250
P12 0.875 0.750 0.625
I1 0.000 0.000 0.000
I2 0.000 0.000 0.500
I3 0.000 0.500 0.000
I4 0.000 0.500 0.500
I5 0.125 0.750 0.875
I6 0.125 0.875 0.250
I7 0.250 0.125 0.875
I8 0.250 0.625 0.375
I9 0.375 0.250 0.625
I10 0.375 0.625 0.750
I11 0.500 0.000 0.000
I12 0.500 0.000 0.500
I13 0.500 0.500 0.000
I14 0.500 0.500 0.500
I15 0.625 0.375 0.250
I16 0.625 0.750 0.375
I17 0.750 0.375 0.625
I18 0.750 0.875 0.125
I19 0.875 0.125 0.750
I20 0.875 0.250 0.125
```

No. 7
A plane-wave DFT calculation with PBE-GGA was carried out for a relaxed KPmS2 crystal.

Summary:
N(E_F), states/eV/atom: 0.15
VASP energy, eV per formula unit: -20.4
Crystal system: tetragonal
Energy relative to the elements, uncorrected, eV per atom: -1.584

The structure in CIF format:
```
data_KPmS2
_chemical_formula_sum 'K1 Pm1 S2'
_space_group_name_H-M_alt 'P 1'
_space_group_IT_number 1
_cell_length_a 3.579
_cell_length_b 3.579
_cell_length_c 7.662
_cell_angle_alpha 90.00
_cell_angle_beta 90.00
_cell_angle_gamma 90.00
loop_
_space_group_symop_operation_xyz
'x,y,z'
loop_
_atom_site_label
_atom_site_fract_x
_atom_site_fract_y
_atom_site_fract_z
K1 0.000 0.000 0.000
Pm1 0.000 0.000 0.500
S1 0.500 0.500 0.291
S2 0.500 0.500 0.709
```

No. 8
A plane-wave DFT calculation with PBE-GGA was carried out for a relaxed BaLa crystal.

Summary:
N(E_F), states/eV/atom: 0.80
VASP energy, eV per formula unit: -4.5
Crystal system: hexagonal
Formation energy from the elements, meV/atom: 1178

The structure in CIF format:
```
data_BaLa
_chemical_formula_sum 'Ba2 La2'
_space_group_name_H-M_alt 'P 1'
_space_group_IT_number 1
_cell_length_a 5.040
_cell_length_b 5.040
_cell_length_c 8.138
_cell_angle_alpha 90.00
_cell_angle_beta 90.00
_cell_angle_gamma 120.00
loop_
_space_group_symop_operation_xyz
'x,y,z'
loop_
_atom_site_label
_atom_site_fract_x
_atom_site_fract_y
_atom_site_fract_z
Ba1 0.333 0.667 0.000
Ba2 0.667 0.333 0.500
La1 0.333 0.667 0.383
La2 0.667 0.333 0.883
```